[1]
This record from Alexandria describes crystalline NdHo2Ag3Se6 at its relaxed geometry. The functional is PBE.

Unit cell a=8.3882 b=8.3882 c=9.8981 alpha=105.26 beta=105.26 gamma=29.23
With the nearest neighbours (Å) after each atom.
Fractional positions:
Nd1 0.0000 0.0000 0.0000  6 Se 2.98-3.03
Ho1 0.3360 0.3360 0.6624  6 Se 2.81-2.93
Ho2 0.6640 0.6640 0.3376  6 Se 2.81-2.93
Ag1 0.0000 0.0000 0.5000  2 Se 2.51
Ag2 0.3274 0.3274 0.0425  4 Se 2.65-2.80
Ag3 0.6726 0.6726 0.9575  4 Se 2.65-2.80
Se1 0.1582 0.1582 0.5256  1 Ag 2.51
Se2 0.1895 0.1895 0.1479  3 Ag 2.71-2.80, 2 Ho 2.93, 1 Nd 3.03
Se3 0.4870 0.4870 0.2054  1 Ag 2.65, 1 Ho 2.81
Se4 0.5130 0.5130 0.7946  1 Ag 2.65, 1 Ho 2.81
Se5 0.8105 0.8105 0.8521  3 Ag 2.71-2.80, 2 Ho 2.93, 1 Nd 3.03
Se6 0.8418 0.8418 0.4744  1 Ag 2.51

Output
The calculation puts the density of states at the Fermi level at 0.00 states/eV/cell. The total energy is -57.50 eV per cell. The volume comes out at 27.28 Å³ per atom.

=====

[2]
This record from Alexandria describes crystalline NdSmHoAg at its relaxed geometry. The functional is PBE.

Unit cell a=3.6681 b=3.6681 c=8.7093 alpha=90.00 beta=90.00 gamma=90.00
With the nearest neighbours (Å) after each atom.
Fractional positions:
Nd1 0.0000 0.0000 0.0000  4 Ho 3.61, 4 Sm 3.65, 4 Nd 3.67
Sm1 0.5000 0.5000 0.7059  4 Ag 3.23
Ho1 0.5000 0.5000 0.2882  4 Ag 3.11
Ag1 0.0000 0.0000 0.4843  4 Ho 3.11, 4 Sm 3.23

Output
The calculation puts the density of states at the Fermi level at 5.71 states/eV/cell. The energy relative to the elements is -0.1257 eV/atom. The total energy is -17.42 eV per cell. The volume comes out at 29.30 Å³ per atom.

=====

[3]
This record from Alexandria describes crystalline NdSmHoAg at its relaxed geometry. The functional is PBE.

Unit cell a=5.4635 b=5.4635 c=5.4635 alpha=60.00 beta=60.00 gamma=60.00
With the nearest neighbours (Å) after each atom.
Fractional positions:
Nd1 0.0000 0.0000 0.0000  4 Ho 3.35, 4 Ag 3.35
Sm1 0.5000 0.5000 0.5000  4 Ho 3.35, 4 Ag 3.35
Ho1 0.7500 0.7500 0.7500  4 Nd 3.35, 4 Sm 3.35
Ag1 0.2500 0.2500 0.2500  4 Sm 3.35, 4 Nd 3.35

Output
The calculation puts the density of states at the Fermi level at 3.89 states/eV/cell. The energy relative to the elements is 0.0598 eV/atom. The total energy is -16.68 eV per cell. The volume comes out at 28.83 Å³ per atom.